## Tl3Sb4Se8 (PBE-GGA)

Data for a relaxed Tl3Sb4Se8 crystal.

Unit cell a=11.972 b=11.976 c=8.387 alpha=90.00 beta=134.02 gamma=90.00
Space group C2/m (No. 12)
Inequivalent atoms, fractional coordinates:
Tl: 0.000 0.000 0.000
Tl: 0.250 0.250 0.000
Sb: 0.000 0.500 0.000
Sb: 0.000 0.500 0.500
Sb: 0.250 0.250 0.500
Se: 0.000 0.255 0.500
Se: 0.000 0.259 0.000
Se: 0.232 0.500 0.983
Se: 0.237 0.500 0.480

Computed properties:
Mass density in g/cm3: 6.65
ΔE_f (raw) in eV/f.u.: -3.60
Magnetization in μB/cell: 0.00
N(E_F) in states/eV/atom: 0.15

## Tl2Sb3Se8 (PBE-GGA)

Data for a relaxed Tl2Sb3Se8 crystal.

Unit cell a=13.560 b=8.092 c=6.976 alpha=90.00 beta=94.17 gamma=90.00
Space group C2/m (No. 12)
Inequivalent atoms, fractional coordinates:
Tl: 0.216 0.000 0.101
Sb: 0.000 0.253 0.500
Sb: 0.000 0.500 0.000
Se: 0.119 0.260 0.851
Se: 0.124 0.500 0.336
Se: 0.145 0.000 0.463

Computed properties:
Mass density in g/cm3: 6.11
ΔE_f (raw) in eV/f.u.: -1.88
Magnetization in μB/cell: 0.00
N(E_F) in states/eV/atom: 0.49

## Tm2Tl3SbSe6 (PBE-GGA)

Data for a relaxed Tm2Tl3SbSe6 crystal.

Unit cell a=7.223 b=12.513 c=8.091 alpha=90.00 beta=107.30 gamma=90.00
Space group C2/m (No. 12)
Inequivalent atoms, fractional coordinates:
Tm: 0.000 0.167 0.000
Tl: 0.000 0.000 0.500
Tl: 0.000 0.333 0.500
Sb: 0.000 0.500 0.000
Se: 0.230 0.000 0.203
Se: 0.237 0.331 0.203

Computed properties:
Mass density in g/cm3: 7.36
ΔE_f (raw) in eV/f.u.: -12.42
Magnetization in μB/cell: 0.00

## TmTl3Sb2Se6 (PBE-GGA)

Data for a relaxed TmTl3Sb2Se6 crystal.

Unit cell a=7.280 b=12.610 c=8.034 alpha=90.00 beta=107.57 gamma=90.00
Space group C2/m (No. 12)
Inequivalent atoms, fractional coordinates:
Tm: 0.000 0.000 0.000
Tl: 0.000 0.167 0.500
Tl: 0.000 0.500 0.500
Sb: 0.000 0.334 0.000
Se: 0.233 0.164 0.206
Se: 0.240 0.500 0.205

Computed properties:
Mass density in g/cm3: 7.08
ΔE_f (raw) in eV/f.u.: -8.35
Magnetization in μB/cell: 0.00